MgAu | GGA-PBE | relaxed

## Properties
Magnetization   0.000 μB/cell
Energy of formation from the pure elements   -0.26 eV per atom
Theoretical density   9.46 g/cm3

abc: 4.6976 4.6976 8.1273
angles: 90.00 90.00 120.00
With the nearest neighbours (Å) after each atom.
Fractional coordinates of all 8 atoms:
Mg1 0.0000 0.0000 0.2500  3 Mg 2.71
Mg2 0.0000 0.0000 0.7500  3 Mg 2.71
Mg3 0.3333 0.6667 0.2500  2 Au 2.69, 3 Mg 2.71
Mg4 0.6667 0.3333 0.7500  2 Au 2.69, 3 Mg 2.71
Au1 0.3333 0.6667 0.5814  1 Mg 2.69, 1 Au 2.74
Au2 0.3333 0.6667 0.9186  1 Mg 2.69, 1 Au 2.74
Au3 0.6667 0.3333 0.0814  1 Mg 2.69, 1 Au 2.74
Au4 0.6667 0.3333 0.4186  1 Mg 2.69, 1 Au 2.74